An optimized crystal structure of NiRhSCl2. Source: Alexandria via LeMat-Bulk, functional PBE.

Geometry as CIF:
```
data_NiRhSCl2
_chemical_formula_sum 'Ni1 Rh1 S1 Cl2'
_symmetry_space_group_name_H-M 'P 4/m m m'
_symmetry_Int_Tables_number 123
_symmetry_space_group_name_Hall '-P 4 2'
_cell_length_a 4.8281
_cell_length_b 4.8281
_cell_length_c 4.5540
_cell_angle_alpha 90.00
_cell_angle_beta 90.00
_cell_angle_gamma 90.00
loop_
_atom_site_label
_atom_site_type_symbol
_atom_site_fract_x
_atom_site_fract_y
_atom_site_fract_z
Ni1 Ni 0.0000 0.0000 0.0000
Rh1 Rh 0.5000 0.5000 0.5000
S1 S 0.5000 0.5000 0.0000
Cl1 Cl 0.0000 0.5000 0.5000
```

Summary:
- offset from the most stable computed form (meV per atom) = 0
- N(E_F) (states/eV/f.u.) = 6.11
- formation energy (no corrections) (eV/atom) = 0.4620
- theoretical density (g/cm3) = 4.14
- final energy (eV/cell) = -18.644

=====

An optimized crystal structure of NdDy3Ho2Se6. Source: Alexandria via LeMat-Bulk, functional PBE.

Geometry as CIF:
```
data_NdDy3Ho2Se6
_chemical_formula_sum 'Nd2 Dy6 Ho4 Se12'
_symmetry_space_group_name_H-M 'C 1 2/m 1'
_symmetry_Int_Tables_number 12
_cell_length_a 7.0694
_cell_length_b 12.3072
_cell_length_c 7.0982
_cell_angle_alpha 90.00
_cell_angle_beta 109.43
_cell_angle_gamma 90.00
loop_
_symmetry_equiv_pos_as_xyz
'x,y,z'
'-x,-y,-z'
'-x,y,-z'
'x,-y,z'
'x+1/2,y+1/2,z'
'-x+1/2,-y+1/2,-z'
'-x+1/2,y+1/2,-z'
'x+1/2,-y+1/2,z'
loop_
_atom_site_label
_atom_site_type_symbol
_atom_site_fract_x
_atom_site_fract_y
_atom_site_fract_z
Nd1 Nd 0.0000 0.0000 0.0000
Dy1 Dy 0.0000 0.1590 0.5000
Dy2 Dy 0.0000 0.5000 0.5000
Ho1 Ho 0.0000 0.3348 0.0000
Se1 Se 0.2396 0.5000 0.2496
Se2 Se 0.2432 0.3276 0.7449
```

Summary:
- N(E_F) (states/eV/f.u.) = 5.21
- formation energy (no corrections) (eV/atom) = -1.7555
- theoretical density (g/cm3) = 8.18
- final energy (eV/cell) = -139.406

=====

An optimized crystal structure of K6CdHg12. Source: Alexandria via LeMat-Bulk, functional PBE.

Geometry as CIF:
```
data_K6CdHg12
_chemical_formula_sum 'K18 Cd3 Hg36'
_symmetry_space_group_name_H-M 'R -3 m'
_symmetry_Int_Tables_number 166
_symmetry_space_group_name_Hall '-R 3 2"'
_cell_length_a 11.9263
_cell_length_b 11.9263
_cell_length_c 16.4605
_cell_angle_alpha 90.00
_cell_angle_beta 90.00
_cell_angle_gamma 120.00
loop_
_atom_site_label
_atom_site_type_symbol
_atom_site_fract_x
_atom_site_fract_y
_atom_site_fract_z
K1 K 0.0495 0.5247 0.2905
Cd1 Cd 0.0000 0.0000 0.0000
Hg1 Hg 0.0536 0.5268 0.9125
Hg2 Hg 0.0971 0.1942 0.8595
```

Summary:
- formation energy from the elements (eV per atom) = -0.20
- N(E_F) (states/eV/f.u.) = 9.49
- theoretical density (g/cm3) = 6.77
- final energy (eV/cell) = -44.995

=====

An optimized crystal structure of ZrTl2As2. Source: Alexandria via LeMat-Bulk, functional PBE.

Geometry as CIF:
```
data_ZrTl2As2
_chemical_formula_sum 'Zr2 Tl4 As4'
_symmetry_space_group_name_H-M 'P 4/m b m'
_symmetry_Int_Tables_number 127
_symmetry_space_group_name_Hall '-P 4 2ab'
_cell_length_a 7.0855
_cell_length_b 7.0855
_cell_length_c 4.9141
_cell_angle_alpha 90.00
_cell_angle_beta 90.00
_cell_angle_gamma 90.00
loop_
_atom_site_label
_atom_site_type_symbol
_atom_site_fract_x
_atom_site_fract_y
_atom_site_fract_z
Zr1 Zr 0.0000 0.0000 0.0000
Tl1 Tl 0.1888 0.3112 0.5000
As1 As 0.1319 0.6319 0.0000
```

Summary:
- formation energy from the elements (eV per atom) = -0.12
- N(E_F) (states/eV/f.u.) = 2.55
- theoretical density (g/cm3) = 8.75
- final energy (eV/cell) = -46.341

=====

An optimized crystal structure of NdErCuPd. Source: Alexandria via LeMat-Bulk, functional PBE.

Geometry as CIF:
```
data_NdErCuPd
_chemical_formula_sum 'Nd4 Er4 Cu4 Pd4'
_symmetry_space_group_name_H-M 'F -4 3 m'
_symmetry_Int_Tables_number 216
_symmetry_space_group_name_Hall 'F -4 2 3'
_cell_length_a 7.0831
_cell_length_b 7.0831
_cell_length_c 7.0831
_cell_angle_alpha 90.00
_cell_angle_beta 90.00
_cell_angle_gamma 90.00
loop_
_atom_site_label
_atom_site_type_symbol
_atom_site_fract_x
_atom_site_fract_y
_atom_site_fract_z
Nd1 Nd 0.0000 0.0000 0.0000
Er1 Er 0.0000 0.0000 0.5000
Cu1 Cu 0.2500 0.2500 0.7500
Pd1 Pd 0.2500 0.2500 0.2500
```

Summary:
- offset from the most stable computed form (meV per atom) = 34
- formation energy from the elements (eV per atom) = -0.51
- N(E_F) (states/eV/f.u.) = 2.45
- theoretical density (g/cm3) = 9.00
- final energy (eV/cell) = -82.688

=====

An optimized crystal structure of Tb3AlSi2Pt8. Source: Alexandria via LeMat-Bulk, functional PBE.

Geometry as CIF:
```
data_Tb3AlSi2Pt8
_chemical_formula_sum 'Tb3 Al1 Si2 Pt8'
_symmetry_space_group_name_H-M 'P -3 m 1'
_symmetry_Int_Tables_number 164
_symmetry_space_group_name_Hall '-P 3 2"'
_cell_length_a 5.4643
_cell_length_b 5.4643
_cell_length_c 9.8705
_cell_angle_alpha 90.00
_cell_angle_beta 90.00
_cell_angle_gamma 120.00
loop_
_atom_site_label
_atom_site_type_symbol
_atom_site_fract_x
_atom_site_fract_y
_atom_site_fract_z
Tb1 Tb 0.0000 0.0000 0.0000
Tb2 Tb 0.3333 0.6667 0.5776
Al1 Al 0.0000 0.0000 0.5000
Si1 Si 0.3333 0.6667 0.1061
Pt1 Pt 0.1655 0.3310 0.2894
Pt2 Pt 0.3333 0.6667 0.8767
```

Summary:
- N(E_F) (states/eV/f.u.) = 8.08
- formation energy (no corrections) (eV/atom) = -0.9562
- theoretical density (g/cm3) = 13.80
- final energy (eV/cell) = -90.193

=====

An optimized crystal structure of Er6SbAs3Se2. Source: Alexandria via LeMat-Bulk, functional PBE.

Geometry as CIF:
```
data_Er6SbAs3Se2
_chemical_formula_sum 'Er12 Sb2 As6 Se4'
_symmetry_space_group_name_H-M 'C 1 2/m 1'
_symmetry_Int_Tables_number 12
_cell_length_a 17.9754
_cell_length_b 4.1144
_cell_length_c 8.2539
_cell_angle_alpha 90.00
_cell_angle_beta 103.62
_cell_angle_gamma 90.00
loop_
_symmetry_equiv_pos_as_xyz
'x,y,z'
'-x,-y,-z'
'-x,y,-z'
'x,-y,z'
'x+1/2,y+1/2,z'
'-x+1/2,-y+1/2,-z'
'-x+1/2,y+1/2,-z'
'x+1/2,-y+1/2,z'
loop_
_atom_site_label
_atom_site_type_symbol
_atom_site_fract_x
_atom_site_fract_y
_atom_site_fract_z
Er1 Er 0.0019 0.0000 0.2379
Er2 Er 0.1640 0.5000 0.0904
Er3 Er 0.1716 0.5000 0.5772
Sb1 Sb 0.0000 0.5000 0.5000
As1 As 0.0000 0.5000 0.0000
As2 As 0.1665 0.0000 0.3313
Se1 Se 0.1686 0.0000 0.8364
```

Summary:
- N(E_F) (states/eV/f.u.) = 3.69
- formation energy (no corrections) (eV/atom) = -1.5508
- theoretical density (g/cm3) = 8.44
- final energy (eV/cell) = -142.054

=====

An optimized crystal structure of LaSiGe2Os2. Source: Alexandria via LeMat-Bulk, functional PBE.

Geometry as CIF:
```
data_LaSiGe2Os2
_chemical_formula_sum 'La1 Si1 Ge2 Os2'
_symmetry_space_group_name_H-M 'P 4/m m m'
_symmetry_Int_Tables_number 123
_symmetry_space_group_name_Hall '-P 4 2'
_cell_length_a 4.5052
_cell_length_b 4.5052
_cell_length_c 5.7277
_cell_angle_alpha 90.00
_cell_angle_beta 90.00
_cell_angle_gamma 90.00
loop_
_atom_site_label
_atom_site_type_symbol
_atom_site_fract_x
_atom_site_fract_y
_atom_site_fract_z
La1 La 0.0000 0.0000 0.0000
Si1 Si 0.0000 0.0000 0.5000
Ge1 Ge 0.5000 0.5000 0.2318
Os1 Os 0.0000 0.5000 0.5000
```

Summary:
- N(E_F) (states/eV/f.u.) = 4.14
- formation energy (no corrections) (eV/atom) = -0.0541
- theoretical density (g/cm3) = 9.89
- final energy (eV/cell) = -42.369

=====

Q: Which formula does entry 1 have?
A: NiRhSCl2

=====

Q: Which of these has the highest final energy?
A: NiRhSCl2

=====

Q: The highest N(E_F) belongs to which entry?
A: K6CdHg12

=====

Copy entry 1 word for word.
An optimized crystal structure of NiRhSCl2. Source: Alexandria via LeMat-Bulk, functional PBE.

Geometry as CIF:
```
data_NiRhSCl2
_chemical_formula_sum 'Ni1 Rh1 S1 Cl2'
_symmetry_space_group_name_H-M 'P 4/m m m'
_symmetry_Int_Tables_number 123
_symmetry_space_group_name_Hall '-P 4 2'
_cell_length_a 4.8281
_cell_length_b 4.8281
_cell_length_c 4.5540
_cell_angle_alpha 90.00
_cell_angle_beta 90.00
_cell_angle_gamma 90.00
loop_
_atom_site_label
_atom_site_type_symbol
_atom_site_fract_x
_atom_site_fract_y
_atom_site_fract_z
Ni1 Ni 0.0000 0.0000 0.0000
Rh1 Rh 0.5000 0.5000 0.5000
S1 S 0.5000 0.5000 0.0000
Cl1 Cl 0.0000 0.5000 0.5000
```

Summary:
- offset from the most stable computed form (meV per atom) = 0
- N(E_F) (states/eV/f.u.) = 6.11
- formation energy (no corrections) (eV/atom) = 0.4620
- theoretical density (g/cm3) = 4.14
- final energy (eV/cell) = -18.644